one | Compound: TlAsI2N
Source: the Alexandria database
Functional: PBE
Structure: optimized geometry

```
5
Lattice="-5.209 -1.489 -3.488 -0.748 -5.406 3.425 -2.133 1.820 2.408" Properties=species:S:1:pos:R:3 pbc="T T T"
I -0.374 -2.703 1.712
I -2.604 -0.745 -1.744
Tl -4.045 -2.538 1.172
As 0.000 0.000 0.000
N -1.066 0.910 1.204
```

=====

two | Compound: TlAsI2N
Source: the Alexandria database
Functional: PBE
Structure: optimized geometry

```
5
Lattice="-3.978 1.179 4.591 4.496 -0.960 4.143 0.973 3.887 -0.155" Properties=species:S:1:pos:R:3 pbc="T T T"
I 2.248 -0.480 2.071
I -1.989 0.590 2.295
Tl 0.000 0.000 0.000
As 0.745 2.053 4.289
N 0.487 1.943 -0.078
```

=====

Energy ordering: one at the bottom, the next structure 935 meV per atom above.

=====

one | Compound: VAsI2N
Source: the Alexandria database
Functional: PBE
Structure: optimized geometry

```
5
Lattice="-2.460 -4.458 -2.282 4.099 -3.253 1.936 -1.890 -0.541 3.094" Properties=species:S:1:pos:R:3 pbc="T T T"
I 2.050 -1.626 0.968
I -1.230 -2.229 -1.141
As -0.125 -4.126 1.374
N -0.945 -0.270 1.547
V 0.000 0.000 0.000
```

=====

two | Compound: VAsI2N
Source: the Alexandria database
Functional: PBE
Structure: optimized geometry

```
5
Lattice="-4.741 2.181 2.720 -2.917 0.032 -5.111 -1.190 -3.407 0.658" Properties=species:S:1:pos:R:3 pbc="T T T"
I -1.459 0.016 -2.555
I -2.371 1.091 1.360
As 0.000 0.000 0.000
N -0.595 -1.704 0.329
V -4.424 -0.597 -0.866
```

=====

Energy ordering: one at the bottom, the next structure 816 meV per atom above.

=====

one | Compound: AsWI2N
Source: the Alexandria database
Functional: PBE
Structure: optimized geometry

```
5
Lattice="-2.880 -4.937 -1.350 4.910 -3.102 0.872 -0.890 -0.432 3.476" Properties=species:S:1:pos:R:3 pbc="T T T"
I 2.455 -1.551 0.436
I -1.440 -2.469 -0.675
As 0.000 0.000 0.000
W 0.570 -4.236 1.499
N -0.445 -0.216 1.738
```

=====

two | Compound: AsWI2N
Source: the Alexandria database
Functional: PBE
Structure: optimized geometry

```
5
Lattice="5.570 0.000 0.000 0.000 5.570 0.000 0.000 0.000 3.828" Properties=species:S:1:pos:R:3 pbc="T T T"
I 0.000 2.785 0.000
I 2.785 0.000 0.000
As 2.785 2.785 1.914
W 0.000 0.000 0.000
N 0.000 0.000 1.914
```

=====

Energy ordering: two at the bottom, the next structure 943 meV per atom above.

=====

one | Compound: ZnAsIN2
Source: the Alexandria database
Functional: PBE
Structure: optimized geometry

```
5
Lattice="-1.694 0.605 3.608 -3.658 -0.346 -1.659 0.101 -6.607 1.155" Properties=species:S:1:pos:R:3 pbc="T T T"
I 0.050 -3.303 0.577
As -2.625 -3.174 1.552
Zn 0.000 0.000 0.000
N -1.829 -0.173 -0.830
N -0.847 0.302 1.804
```

=====

two | Compound: ZnAsIN2
Source: the Alexandria database
Functional: PBE
Structure: optimized geometry

```
5
Lattice="3.823 0.000 0.000 0.000 3.823 0.000 0.000 0.000 7.274" Properties=species:S:1:pos:R:3 pbc="T T T"
I 0.000 0.000 3.637
As 0.000 0.000 0.000
Zn 1.911 1.911 3.637
N 0.000 1.911 0.000
N 1.911 0.000 0.000
```

=====

Energy ordering: two at the bottom, the next structure 458 meV per atom above.

=====

one | Compound: ZnAsI2N
Source: the Alexandria database
Functional: PBE
Structure: optimized geometry

```
5
Lattice="5.725 0.000 0.000 0.000 5.725 0.000 0.000 0.000 3.710" Properties=species:S:1:pos:R:3 pbc="T T T"
I 0.000 2.862 0.000
I 2.862 0.000 0.000
As 2.862 2.862 1.855
Zn 0.000 0.000 0.000
N 0.000 0.000 1.855
```

=====

two | Compound: ZnAsI2N
Source: the Alexandria database
Functional: PBE
Structure: optimized geometry

```
5
Lattice="-5.854 1.072 -1.047 0.936 -0.682 -5.931 -0.712 -3.596 0.301" Properties=species:S:1:pos:R:3 pbc="T T T"
I 0.468 -0.341 -2.965
I -2.927 0.536 -0.523
As 0.000 0.000 0.000
Zn -2.815 -1.603 -3.338
N -0.356 -1.798 0.151
```

=====

Energy ordering: two at the bottom, the next structure 264 meV per atom above.

=====

one | Compound: ZrAsIN2
Source: the Alexandria database
Functional: PBE
Structure: optimized geometry

```
5
Lattice="-1.333 0.610 3.936 -3.001 -2.884 -0.569 3.835 -4.382 1.978" Properties=species:S:1:pos:R:3 pbc="T T T"
I 1.918 -2.191 0.989
As -0.249 -3.327 2.673
Zr 0.000 0.000 0.000
N -1.500 -1.442 -0.284
N -0.666 0.305 1.968
```

=====

two | Compound: ZrAsIN2
Source: the Alexandria database
Functional: PBE
Structure: optimized geometry

```
5
Lattice="4.058 0.000 0.000 0.000 4.058 0.000 0.000 0.000 5.289" Properties=species:S:1:pos:R:3 pbc="T T T"
I 0.000 0.000 2.645
As 0.000 0.000 0.000
Zr 2.029 2.029 2.645
N 0.000 2.029 0.000
N 2.029 0.000 0.000
```

=====

Energy ordering: one at the bottom, the next structure 645 meV per atom above.

=====

one | Compound: NaAsI3
Source: the Alexandria database
Functional: PBE
Structure: optimized geometry

```
20
Lattice="-0.455 -5.138 2.008 4.564 2.394 7.161 -15.267 7.431 7.245" Properties=species:S:1:pos:R:3 pbc="T T T"
Na -1.245 -1.231 8.561
Na -3.176 -0.717 4.185
Na -9.913 5.919 7.853
Na -7.982 5.405 12.229
As 1.973 -0.238 5.112
As -6.835 2.959 4.221
As -13.131 4.926 11.302
As -4.324 1.729 12.193
I -5.709 5.035 9.860
I -13.063 5.828 8.846
I -5.449 -0.347 6.554
I 1.905 -1.140 7.568
I -7.527 3.251 14.407
I -9.356 3.705 9.986
I -3.632 1.437 2.007
I -1.802 0.983 6.428
I -3.094 1.507 9.883
I -0.439 -2.988 4.258
I -8.064 3.181 6.532
I -10.719 7.676 12.156
```

=====

two | Compound: NaAsI3
Source: the Alexandria database
Functional: PBE
Structure: optimized geometry

```
10
Lattice="-5.285 2.699 -2.123 -2.992 -1.128 5.438 -15.503 16.507 2.898" Properties=species:S:1:pos:R:3 pbc="T T T"
Na -9.356 5.399 1.790
Na -5.229 4.640 0.066
As -12.159 10.851 2.826
As -17.937 15.692 1.937
I -6.478 4.672 3.053
I -13.174 9.350 4.708
I -14.223 11.114 1.245
I -15.873 15.428 3.518
I -8.109 5.365 -1.195
I -19.913 16.063 5.491
```

=====

Energy ordering: two at the bottom, the next structure 23 meV per atom above.

=====

one | Compound: NaAsI3
Source: the Alexandria database
Functional: PBE
Structure: optimized geometry

```
5
Lattice="-4.922 3.078 -0.410 -2.912 -4.842 -1.393 -1.078 -0.973 5.635" Properties=species:S:1:pos:R:3 pbc="T T T"
I -1.456 -2.421 -0.697
I -0.539 -0.487 2.818
I -2.461 1.539 -0.205
Na -4.456 -1.368 1.916
As 0.000 0.000 0.000
```

=====

two | Compound: NaAsI3
Source: the Alexandria database
Functional: PBE
Structure: optimized geometry

```
5
Lattice="-3.024 -0.039 -5.052 4.809 -1.826 -2.865 -1.548 -5.598 0.970" Properties=species:S:1:pos:R:3 pbc="T T T"
I 2.404 -0.913 -1.433
I -0.774 -2.799 0.485
I -1.512 -0.019 -2.526
Na 0.000 0.000 0.000
As 0.118 -3.731 -3.474
```

=====

Energy ordering: one at the bottom, the next structure 690 meV per atom above.